No. 1
# Fe5Ag (GGA-PBE, optimized geometry)
# total energy = -7.13 eV per atom
# magnetization = 10.1 μB per cell
# crystal system = hexagonal
data_Fe5Ag
_symmetry_space_group_name_H-M 'P 6/m m m'
_symmetry_Int_Tables_number 191
_symmetry_space_group_name_Hall '-P 6 2'
_cell_length_a 4.7965
_cell_length_b 4.7965
_cell_length_c 3.9674
_cell_angle_alpha 90.00
_cell_angle_beta 90.00
_cell_angle_gamma 120.00
loop_
_atom_site_label
_atom_site_type_symbol
_atom_site_fract_x
_atom_site_fract_y
_atom_site_fract_z
Fe1 Fe 0.0000 0.5000 0.0000
Fe2 Fe 0.3333 0.6667 0.5000
Ag1 Ag 0.0000 0.0000 0.5000



No. 2
# Dy3Ge2Rh6 (GGA-PBE, optimized geometry)
# total energy = -6.83 eV per atom
# magnetization = 0.0 μB per cell
# crystal system = cubic
data_Dy3Ge2Rh6
_symmetry_space_group_name_H-M 'I m -3 m'
_symmetry_Int_Tables_number 229
_symmetry_space_group_name_Hall '-I 4 2 3'
_cell_length_a 9.288
_cell_length_b 9.288
_cell_length_c 9.288
_cell_angle_alpha 90.00
_cell_angle_beta 90.00
_cell_angle_gamma 90.00
loop_
_atom_site_label
_atom_site_type_symbol
_atom_site_fract_x
_atom_site_fract_y
_atom_site_fract_z
Dy1 Dy 0.000 0.000 0.287
Ge1 Ge 0.250 0.250 0.250
Rh1 Rh 0.000 0.344 0.344



No. 3
# ZrMn3Ge3 (GGA-PBE, optimized geometry)
# total energy = -6.51 eV per atom
# magnetization = 14.3 μB per cell
# crystal system = cubic
data_ZrMn3Ge3
_symmetry_space_group_name_H-M 'P m -3 n'
_symmetry_Int_Tables_number 223
_symmetry_space_group_name_Hall '-P 4n 2 3'
_cell_length_a 6.517
_cell_length_b 6.517
_cell_length_c 6.517
_cell_angle_alpha 90.00
_cell_angle_beta 90.00
_cell_angle_gamma 90.00
loop_
_atom_site_label
_atom_site_type_symbol
_atom_site_fract_x
_atom_site_fract_y
_atom_site_fract_z
Zr1 Zr 0.000 0.000 0.000
Mn1 Mn 0.000 0.250 0.500
Ge1 Ge 0.000 0.500 0.250



No. 4
# Cs2PbF6 (GGA-PBE, optimized geometry)
# total energy = -4.30 eV per atom
# magnetization = 0.4 μB per cell
# formation energy (no corrections) = -2.446 eV per atom
# crystal system = monoclinic
data_Cs2PbF6
_symmetry_space_group_name_H-M 'P 1 21/c 1'
_symmetry_Int_Tables_number 14
_symmetry_space_group_name_Hall '-P 2ybc'
_cell_length_a 6.711
_cell_length_b 8.487
_cell_length_c 8.566
_cell_angle_alpha 90.00
_cell_angle_beta 118.22
_cell_angle_gamma 90.00
loop_
_atom_site_label
_atom_site_type_symbol
_atom_site_fract_x
_atom_site_fract_y
_atom_site_fract_z
Cs1 Cs 0.180 0.061 0.320
Pb1 Pb 0.500 0.000 0.000
F1 F 0.208 0.115 0.979
F2 F 0.324 0.716 0.446
F3 F 0.374 0.033 0.725



No. 5
# AlTe2Os (GGA-PBE, optimized geometry)
# total energy = -4.94 eV per atom
# magnetization = 0.0 μB per cell
# formation energy (no corrections) = 0.377 eV per atom
# crystal system = orthorhombic
data_AlTe2Os
_symmetry_space_group_name_H-M 'I m m 2'
_symmetry_Int_Tables_number 44
_symmetry_space_group_name_Hall 'I 2 -2'
_cell_length_a 3.109
_cell_length_b 4.809
_cell_length_c 11.929
_cell_angle_alpha 90.00
_cell_angle_beta 90.00
_cell_angle_gamma 90.00
loop_
_atom_site_label
_atom_site_type_symbol
_atom_site_fract_x
_atom_site_fract_y
_atom_site_fract_z
Al1 Al 0.000 0.000 0.000
Te1 Te 0.000 0.000 0.367
Te2 Te 0.000 0.500 0.151
Os1 Os 0.000 0.500 0.678



No. 6
# PrPuZrO6 (GGA-PBE, optimized geometry)
# total energy = -9.47 eV per atom
# magnetization = 6.0 μB per cell
# formation energy (no corrections) = -3.087 eV per atom
# crystal system = trigonal
data_PrPuZrO6
_symmetry_space_group_name_H-M 'P -3 1 c'
_symmetry_Int_Tables_number 163
_symmetry_space_group_name_Hall '-P 3 2c'
_cell_length_a 5.6712
_cell_length_b 5.6712
_cell_length_c 10.0073
_cell_angle_alpha 90.00
_cell_angle_beta 90.00
_cell_angle_gamma 120.00
loop_
_atom_site_label
_atom_site_type_symbol
_atom_site_fract_x
_atom_site_fract_y
_atom_site_fract_z
Pr1 Pr 0.0000 0.0000 0.0000
Pu1 Pu 0.3333 0.6667 0.2500
Zr1 Zr 0.3333 0.6667 0.7500
O1 O 0.0015 0.3576 0.6392



No. 7
# NbSiNi (GGA-PBE, optimized geometry)
# total energy = -7.49 eV per atom
# magnetization = 0.0 μB per cell
# formation energy (no corrections) = -0.397 eV per atom
# crystal system = triclinic
data_NbSiNi
_symmetry_space_group_name_H-M 'P 1'
_symmetry_Int_Tables_number 1
_symmetry_space_group_name_Hall 'P 1'
_cell_length_a 3.966
_cell_length_b 5.026
_cell_length_c 5.193
_cell_angle_alpha 63.64
_cell_angle_beta 72.34
_cell_angle_gamma 67.56
loop_
_atom_site_label
_atom_site_type_symbol
_atom_site_fract_x
_atom_site_fract_y
_atom_site_fract_z
Nb1 Nb 0.000 0.000 0.000
Nb2 Nb 0.333 0.751 0.490
Si1 Si 0.022 0.390 0.430
Si2 Si 0.713 0.636 0.941
Ni1 Ni 0.343 0.338 0.019
Ni2 Ni 0.599 0.128 0.561



No. 8
# BaCd2Au (GGA-PBE, optimized geometry)
# total energy = -2.06 eV per atom
# magnetization = 0.0 μB per cell
# crystal system = tetragonal
data_BaCd2Au
_symmetry_space_group_name_H-M 'P 4 m m'
_symmetry_Int_Tables_number 99
_symmetry_space_group_name_Hall 'P 4 -2'
_cell_length_a 3.965
_cell_length_b 3.965
_cell_length_c 7.301
_cell_angle_alpha 90.00
_cell_angle_beta 90.00
_cell_angle_gamma 90.00
loop_
_atom_site_label
_atom_site_type_symbol
_atom_site_fract_x
_atom_site_fract_y
_atom_site_fract_z
Ba1 Ba 0.000 0.000 0.000
Cd1 Cd 0.000 0.000 0.526
Cd2 Cd 0.500 0.500 0.328
Au1 Au 0.500 0.500 0.729



No. 9
# CoC3 (GGA-PBE, optimized geometry)
# total energy = -7.60 eV per atom
# magnetization = 0.3 μB per cell
# energy relative to the lowest polymorph listed for this composition = 481 meV/atom
# crystal system = orthorhombic
data_CoC3
_symmetry_space_group_name_H-M 'P m m 2'
_symmetry_Int_Tables_number 25
_symmetry_space_group_name_Hall 'P 2 -2'
_cell_length_a 2.524
_cell_length_b 8.475
_cell_length_c 2.866
_cell_angle_alpha 90.00
_cell_angle_beta 90.00
_cell_angle_gamma 90.00
loop_
_atom_site_label
_atom_site_type_symbol
_atom_site_fract_x
_atom_site_fract_y
_atom_site_fract_z
Co1 Co 0.000 0.000 0.000
C1 C 0.000 0.500 0.910
C2 C 0.500 0.000 0.500
C3 C 0.500 0.500 0.910



No. 10
# TlSi2Ag (GGA-PBE, optimized geometry)
# total energy = -3.47 eV per atom
# magnetization = 0.0 μB per cell
# formation energy (no corrections) = 0.542 eV per atom
# energy relative to the lowest polymorph listed for this composition = 278 meV/atom
# crystal system = trigonal
data_TlSi2Ag
_symmetry_space_group_name_H-M 'R -3 m'
_symmetry_Int_Tables_number 166
_symmetry_space_group_name_Hall '-R 3 2"'
_cell_length_a 3.0488
_cell_length_b 3.0488
_cell_length_c 30.6945
_cell_angle_alpha 90.00
_cell_angle_beta 90.00
_cell_angle_gamma 120.00
loop_
_atom_site_label
_atom_site_type_symbol
_atom_site_fract_x
_atom_site_fract_y
_atom_site_fract_z
Tl1 Tl 0.0000 0.0000 0.0000
Si1 Si 0.0000 0.0000 0.2369
Ag1 Ag 0.0000 0.0000 0.5000



Question: What is the formula in the seventh record?
Answer: NbSiNi



Question: Which value of magnetization does entry 6 give?
Answer: 6.0 μB per cell



Question: Which value of total energy does entry 8 give?
Answer: -2.06 eV per atom